No. 1
This record from Alexandria via LeMat-Bulk describes an optimized crystal structure of Ta2ReHPt. The functional is PBE.

Cell: 4.218 4.218 3.836 Å, 90.00 90.00 90.00°
Positions (direct):
1 Ta 0.000 0.500 0.000
2 Ta 0.500 0.000 0.000
3 Re 0.000 0.000 0.500
4 H 0.500 0.500 0.000
5 Pt 0.500 0.500 0.500

Calculated values
polymorph energy (0 for the lowest one): 27 kJ/mol of formula units
SG: P4/mmm



No. 2
This record from Alexandria via LeMat-Bulk describes an optimized crystal structure of Nb3TlPd. The functional is PBE.

Cell: 5.081 5.081 5.081 Å, 90.00 90.00 90.00°
Positions (direct):
1 Nb 0.000 0.000 0.500
2 Nb 0.000 0.500 0.000
3 Nb 0.500 0.000 0.000
4 Tl 0.000 0.000 0.000
5 Pd 0.500 0.500 0.500

Calculated values
formation enthalpy at 0 K: 2165 meV per atom
polymorph energy (0 for the lowest one): 502 kJ/mol of formula units
SG: Pm-3m



No. 3
This record from Alexandria via LeMat-Bulk describes an optimized crystal structure of LaAgOs2. The functional is PBE.

Cell: 5.019 5.019 5.019 Å, 128.27 128.27 76.19°
Positions (direct):
1 La 0.000 0.000 0.000
2 Ag 0.750 0.250 0.500
3 Os 0.250 0.750 0.500
4 Os 0.500 0.500 0.000

Calculated values
formation enthalpy at 0 K: 692 meV per atom
polymorph energy (0 for the lowest one): 157 kJ/mol of formula units
SG: I-4m2



No. 4
This record from Alexandria via LeMat-Bulk describes an optimized crystal structure of Nd4SnPbO. The functional is PBE.

Cell: 9.517 9.517 6.688 Å, 90.00 90.00 138.93°
Positions (direct):
1 Nd 0.000 0.500 0.000
2 Nd 0.000 0.500 0.500
3 Nd 0.067 0.933 0.750
4 Nd 0.420 0.580 0.750
5 Nd 0.500 0.000 0.000
6 Nd 0.500 0.000 0.500
7 Nd 0.580 0.420 0.250
8 Nd 0.933 0.067 0.250
9 Sn 0.113 0.887 0.250
10 Sn 0.887 0.113 0.750
11 Pb 0.391 0.609 0.250
12 Pb 0.609 0.391 0.750
13 O 0.282 0.718 0.750
14 O 0.718 0.282 0.250

Calculated values
SG: Cmcm
formation energy (no corrections): -1.215 eV per atom



No. 5
This record from Alexandria via LeMat-Bulk describes an optimized crystal structure of Li2TlCr. The functional is PBE.

Cell: 5.596 5.596 3.177 Å, 103.83 103.83 119.43°
Positions (direct):
1 Li 0.000 0.500 0.000
2 Li 0.500 0.000 0.000
3 Tl 0.000 0.000 0.500
4 Cr 0.500 0.500 0.500

Calculated values
formation enthalpy at 0 K: 267 meV per atom
SG: C2/m



No. 6
This record from Alexandria via LeMat-Bulk describes an optimized crystal structure of Sm2MgAl4Au3. The functional is PBE.

Cell: 4.295 4.295 11.183 Å, 90.00 90.00 90.00°
Positions (direct):
1 Sm 0.000 0.500 0.244
2 Sm 0.500 0.000 0.756
3 Mg 0.000 0.000 0.500
4 Al 0.000 0.000 0.000
5 Al 0.000 0.500 0.647
6 Al 0.500 0.000 0.353
7 Al 0.500 0.500 0.000
8 Au 0.000 0.500 0.870
9 Au 0.500 0.000 0.130
10 Au 0.500 0.500 0.500

Calculated values
formation enthalpy at 0 K: -641 meV per atom
SG: P-4m2



No. 7
This record from Alexandria via LeMat-Bulk describes an optimized crystal structure of Tl5Ni. The functional is PBE.

Cell: 3.330 3.330 14.432 Å, 90.00 90.00 90.00°
Positions (direct):
1 Tl 0.000 0.000 0.000
2 Tl 0.000 0.000 0.386
3 Tl 0.000 0.000 0.614
4 Tl 0.500 0.500 0.194
5 Tl 0.500 0.500 0.806
6 Ni 0.500 0.500 0.500

Calculated values
formation enthalpy at 0 K: 150 meV per atom
polymorph energy (0 for the lowest one): 0 kJ/mol of formula units
SG: P4/mmm



No. 8
This record from Alexandria via LeMat-Bulk describes an optimized crystal structure of SrAu. The functional is PBE.

Cell: 8.024 7.486 6.376 Å, 70.22 61.39 48.40°
Positions (direct):
1 Sr 0.086 0.664 0.086
2 Sr 0.336 0.914 0.336
3 Sr 0.664 0.086 0.664
4 Sr 0.914 0.336 0.914
5 Au 0.191 0.559 0.559
6 Au 0.441 0.809 0.809
7 Au 0.559 0.191 0.191
8 Au 0.809 0.441 0.441

Calculated values
formation enthalpy at 0 K: -690 meV per atom
SG: Fddd



No. 9
This record from Alexandria via LeMat-Bulk describes an optimized crystal structure of CaTlIr2. The functional is PBE.

Cell: 6.142 6.142 4.804 Å, 112.86 112.86 28.51°
Positions (direct):
1 Ca 0.000 0.000 0.000
2 Tl 0.791 0.791 0.294
3 Ir 0.216 0.216 0.721
4 Ir 0.521 0.521 0.520

Calculated values
formation enthalpy at 0 K: 93 meV per atom
SG: Cm



No. 10
This record from Alexandria via LeMat-Bulk describes an optimized crystal structure of Pm3Zn3Ni. The functional is PBE.

Cell: 9.987 9.987 9.987 Å, 158.52 153.97 33.99°
Positions (direct):
1 Pm 0.000 0.000 0.000
2 Pm 0.371 0.371 0.000
3 Pm 0.698 0.198 0.500
4 Zn 0.129 0.629 0.500
5 Zn 0.554 0.554 0.000
6 Zn 0.826 0.826 0.000
7 Ni 0.260 0.760 0.500

Calculated values
formation enthalpy at 0 K: -323 meV per atom
SG: Imm2



No. 11
This record from Alexandria via LeMat-Bulk describes an optimized crystal structure of AcIn5Te4. The functional is PBE.

Cell: 8.733 12.345 7.179 Å, 90.00 90.00 90.00°
Positions (direct):
1 Ac 0.250 0.250 0.159
2 Ac 0.750 0.750 0.841
3 In 0.060 0.008 0.790
4 In 0.060 0.492 0.790
5 In 0.250 0.750 0.848
6 In 0.440 0.008 0.790
7 In 0.440 0.492 0.790
8 In 0.560 0.508 0.210
9 In 0.560 0.992 0.210
10 In 0.750 0.250 0.152
11 In 0.940 0.508 0.210
12 In 0.940 0.992 0.210
13 Te 0.008 0.750 0.164
14 Te 0.250 0.031 0.416
15 Te 0.250 0.469 0.416
16 Te 0.492 0.750 0.164
17 Te 0.508 0.250 0.836
18 Te 0.750 0.531 0.584
19 Te 0.750 0.969 0.584
20 Te 0.992 0.250 0.836

Calculated values
SG: Pmmn
formation energy (no corrections): -0.384 eV per atom



no.,calculated volume (A^3/atom)
1,13.7
2,26.2
3,18.9
4,28.4
5,19.1
6,20.6
7,26.7
8,31.4
9,19.8
10,22.8
11,38.7